VASP calculation (PBE-GGA) on a geometry-optimized SrPtPb2 structure.

The value obtained for the density is 9.91 g cm⁻³. For the total magnetic moment, the calculation gives 0.00 μB per formula unit. The formation energy is -0.424 eV/atom. For the total energy, the calculation gives -16.836 eV/f.u.

It has space group Pm (No. 6), with a = 4.9521 Å, b = 3.9254 Å, c = 6.4814 Å, α = 90.00°, β = 112.04° and γ = 90.00°. The distinct sites, in fractional coordinates, are Sr at (0.0000, 0.0000, 0.0000), Pt at (0.5376, 0.5000, 0.0761), Pb at (0.3022, 0.5000, 0.6078) and Pb at (0.7088, 0.0000, 0.4192).